# Mg2MnOs (PBE, optimized geometry)
# ΔE_f = 0.340 eV/atom
# density of states at the Fermi level = 0.99 states/eV per atom
# ΔE to the lowest computed polymorph = 257 meV/atom
# total magnetic moment = 0.79 μB per atom
# calculated total energy = -5.557 eV/atom
data_Mg2MnOs
_chemical_formula_sum 'Mg2 Mn1 Os1'
_cell_length_a 2.7522
_cell_length_b 2.7522
_cell_length_c 9.1443
_cell_angle_alpha 90.00
_cell_angle_beta 90.00
_cell_angle_gamma 112.14
_symmetry_space_group_name_H-M 'P 1'
_symmetry_Int_Tables_number 1
_symmetry_space_group_name_Hall 'P 1'
loop_
_atom_site_label
_atom_site_type_symbol
_atom_site_fract_x
_atom_site_fract_y
_atom_site_fract_z
Mg1 Mg 0.0000 0.0000 0.2449
Mg2 Mg 0.0000 0.0000 0.7551
Mn1 Mn 0.5000 0.5000 0.5000
Os1 Os 0.5000 0.5000 0.0000